(1)
## ReIr2Cl (PBE)

Data for a geometry-optimized ReIr2Cl structure.

a b c (Å): 8.907 8.907 8.907
angles (deg): 18.35 18.35 18.35
Sites, in units of the cell vectors:
Cl  0.750  0.750  0.750
Ir  0.997  0.997  0.997
Ir  0.503  0.503  0.503
Re  0.250  0.250  0.250

Summary:
E_form (uncorrected) in eV per atom: 0.29
N(E_F) in states/eV per atom: 0.8444
Offset from the most stable computed form in meV/atom: 0.0
Crystal system: trigonal

***

(2)
## CoCuPt (PBE)

Data for a geometry-optimized CoCuPt structure.

a b c (Å): 3.995 3.995 3.995
angles (deg): 60.00 60.00 60.00
Site moments in Bohr magnetons follow the coordinates.
Sites, in units of the cell vectors:
Co  0.750  0.750  0.750  1.79
Cu  0.000  0.000  0.000  0.05
Pt  0.500  0.500  0.500  0.44

Summary:
N(E_F) in states/eV per atom: 0.8173
Offset from the most stable computed form in meV/atom: 385.2
Crystal system: cubic
Formation enthalpy at 0 K in kJ per mole of atoms: 28.9

***

(3)
## Ac2CuRh (PBE)

Data for a geometry-optimized Ac2CuRh structure.

a b c (Å): 3.787 5.283 5.283
angles (deg): 90.00 90.00 90.00
Sites, in units of the cell vectors:
Ac  0.000  0.000  0.500
Ac  0.000  0.500  0.000
Rh  0.500  0.000  0.000
Cu  0.500  0.500  0.500

Summary:
N(E_F) in states/eV per atom: 0.8341
Crystal system: tetragonal
Formation enthalpy at 0 K in kJ per mole of atoms: -31.0

***

What did the second record say?
## CoCuPt (PBE)

Data for a geometry-optimized CoCuPt structure.

a b c (Å): 3.995 3.995 3.995
angles (deg): 60.00 60.00 60.00
Site moments in Bohr magnetons follow the coordinates.
Sites, in units of the cell vectors:
Co  0.750  0.750  0.750  1.79
Cu  0.000  0.000  0.000  0.05
Pt  0.500  0.500  0.500  0.44

Summary:
N(E_F) in states/eV per atom: 0.8173
Offset from the most stable computed form in meV/atom: 385.2
Crystal system: cubic
Formation enthalpy at 0 K in kJ per mole of atoms: 28.9

***

The lowest N(E_F) belongs to which entry?
CoCuPt

***

Which value of N(E_F) does entry 3 give?
0.8341 states/eV per atom